1.
{
  "formula": "NdPu2PdN4",
  "functional": "GGA-PBE",
  "state": "optimized geometry",
  "cell": [[1.767, -5.667, 0.000], [1.767, 5.667, 0.000], [0.000, 0.000, 11.876]],
  "species": ["Nd", "Nd", "Pu", "Pu", "Pu", "Pu", "Pd", "Pd", "N", "N", "N", "N", "N", "N", "N", "N"],
  "frac_coords": [[0.096, 0.904, 0.750], [0.904, 0.096, 0.250], [0.370, 0.630, 0.557], [0.370, 0.630, 0.943], [0.630, 0.370, 0.057], [0.630, 0.370, 0.443], [0.176, 0.824, 0.250], [0.824, 0.176, 0.750], [0.000, 0.000, 0.000], [0.000, 0.000, 0.500], [0.263, 0.737, 0.093], [0.263, 0.737, 0.407], [0.454, 0.546, 0.750], [0.546, 0.454, 0.250], [0.737, 0.263, 0.593], [0.737, 0.263, 0.907]],
  "e_tot_ev_per_atom": -9.892,
  "mass_density_g_cm3": 11.09,
  "formation_energy_uncorrected_mev_per_atom": -901,
  "magmom_total_mub_per_fu": 7.0,
  "space_group": "Cmcm"
}

2.
{
  "formula": "PmNd2N2",
  "functional": "GGA-PBE",
  "state": "optimized geometry",
  "cell": [[5.807, -2.601, 0.000], [5.807, 2.601, 0.000], [-2.552, 0.000, 6.926]],
  "species": ["Pm", "Pm", "Nd", "Nd", "Nd", "Nd", "N", "N", "N", "N"],
  "frac_coords": [[0.156, 0.156, 0.096], [0.844, 0.844, 0.904], [0.164, 0.164, 0.574], [0.493, 0.493, 0.266], [0.507, 0.507, 0.734], [0.836, 0.836, 0.426], [0.003, 0.003, 0.248], [0.334, 0.334, 0.415], [0.666, 0.666, 0.585], [0.997, 0.997, 0.752]],
  "e_tot_ev_per_atom": -7.263,
  "mass_density_g_cm3": 7.33,
  "formation_energy_uncorrected_mev_per_atom": -1076,
  "magmom_total_mub_per_fu": 0.0,
  "space_group": "C2/m"
}

3.
{
  "formula": "Pm2Nd5N5",
  "functional": "GGA-PBE",
  "state": "optimized geometry",
  "cell": [[6.108, -1.762, 0.000], [6.108, 1.762, 0.000], [-2.462, 0.000, 12.367]],
  "species": ["Pm", "Pm", "Nd", "Nd", "Nd", "Nd", "Nd", "N", "N", "N", "N", "N"],
  "frac_coords": [[0.066, 0.066, 0.318], [0.934, 0.934, 0.682], [0.277, 0.277, 0.124], [0.351, 0.351, 0.438], [0.500, 0.500, 0.000], [0.649, 0.649, 0.562], [0.723, 0.723, 0.876], [0.000, 0.000, 0.500], [0.136, 0.136, 0.958], [0.311, 0.311, 0.616], [0.689, 0.689, 0.384], [0.864, 0.864, 0.042]],
  "e_tot_ev_per_atom": -7.203,
  "mass_density_g_cm3": 6.74,
  "formation_energy_uncorrected_mev_per_atom": -956,
  "magmom_total_mub_per_fu": 2.1,
  "space_group": "C2/m"
}

4.
{
  "formula": "PmNd2N2",
  "functional": "GGA-PBE",
  "state": "optimized geometry",
  "cell": [[-1.807, 2.616, 5.532], [1.807, -2.616, 5.532], [1.807, 2.616, -5.532]],
  "species": ["Pm", "Nd", "Nd", "N", "N"],
  "frac_coords": [[0.000, 0.000, 0.000], [0.319, 0.319, 0.000], [0.681, 0.681, 0.000], [0.168, 0.668, 0.500], [0.832, 0.332, 0.500]],
  "e_tot_ev_per_atom": -7.257,
  "mass_density_g_cm3": 7.33,
  "formation_energy_uncorrected_mev_per_atom": -1070,
  "magmom_total_mub_per_fu": 0.0,
  "space_group": "Immm"
}

5.
{
  "formula": "PmNd2N",
  "functional": "GGA-PBE",
  "state": "optimized geometry",
  "cell": [[1.796, 1.037, 9.826], [-1.796, 1.037, 9.826], [0.000, -2.074, 9.826]],
  "species": ["Pm", "Nd", "Nd", "N"],
  "frac_coords": [[0.000, 0.000, 0.000], [0.120, 0.120, 0.120], [0.880, 0.880, 0.880], [0.500, 0.500, 0.500]],
  "e_tot_ev_per_atom": -6.213,
  "mass_density_g_cm3": 6.77,
  "formation_energy_uncorrected_mev_per_atom": -560,
  "magmom_total_mub_per_fu": 0.0,
  "space_group": "R-3m"
}

6.
{
  "formula": "Pm3NdN",
  "functional": "GGA-PBE",
  "state": "optimized geometry",
  "cell": [[5.128, 0.000, 0.000], [0.000, 5.128, 0.000], [0.000, 0.000, 5.128]],
  "species": ["Pm", "Pm", "Pm", "Nd", "N"],
  "frac_coords": [[0.000, 0.000, 0.500], [0.000, 0.500, 0.000], [0.500, 0.000, 0.000], [0.500, 0.500, 0.500], [0.000, 0.000, 0.000]],
  "e_tot_ev_per_atom": -5.915,
  "mass_density_g_cm3": 7.30,
  "formation_energy_uncorrected_mev_per_atom": -446,
  "magmom_total_mub_per_fu": 0.0,
  "space_group": "Pm-3m"
}

7.
{
  "formula": "Pm4Nd2N",
  "functional": "GGA-PBE",
  "state": "optimized geometry",
  "cell": [[-2.484, 2.484, 8.950], [2.484, -2.484, 8.950], [2.484, 2.484, -8.950]],
  "species": ["Pm", "Pm", "Pm", "Pm", "Nd", "Nd", "N"],
  "frac_coords": [[0.000, 0.500, 0.500], [0.134, 0.134, 0.000], [0.500, 0.000, 0.500], [0.866, 0.866, 0.000], [0.330, 0.330, 0.000], [0.670, 0.670, 0.000], [0.000, 0.000, 0.000]],
  "e_tot_ev_per_atom": -5.504,
  "mass_density_g_cm3": 6.63,
  "formation_energy_uncorrected_mev_per_atom": -237,
  "magmom_total_mub_per_fu": 0.0,
  "space_group": "I4/mmm"
}

8.
{
  "formula": "Pm4NdN4",
  "functional": "GGA-PBE",
  "state": "optimized geometry",
  "cell": [[5.117, 0.000, 0.000], [2.553, 5.762, 0.000], [2.552, 0.000, 5.763]],
  "species": ["Pm", "Pm", "Pm", "Pm", "Nd", "N", "N", "N", "N"],
  "frac_coords": [[0.110, 0.204, 0.076], [0.314, 0.576, 0.296], [0.686, 0.424, 0.704], [0.890, 0.796, 0.924], [0.500, 0.000, 0.500], [0.200, 0.397, 0.702], [0.402, 0.798, 0.896], [0.598, 0.202, 0.104], [0.800, 0.603, 0.298]],
  "e_tot_ev_per_atom": -7.608,
  "mass_density_g_cm3": 7.63,
  "formation_energy_uncorrected_mev_per_atom": -1266,
  "magmom_total_mub_per_fu": 0.0,
  "space_group": "P-1"
}